Compound: HfThOsPd
Source: Alexandria via LeMat-Bulk
Functional: PBE
Structure: relaxed

Cell lengths 4.8832, 4.8832, 4.8832 Å; angles 60.00, 60.00, 60.00 degrees
Sites, in units of the cell vectors:
Hf: 0.2500 0.2500 0.2500
Os: 0.5000 0.5000 0.5000
Pd: 0.0000 0.0000 0.0000
Th: 0.7500 0.7500 0.7500

Summary:
Formation energy: -0.417 eV/atom
Uncorrected energy: -35.462 eV per cell
Spin magnetization: 0.00 μB per atom

Compound: TmHfOsPd
Source: Alexandria via LeMat-Bulk
Functional: PBE
Structure: relaxed

Cell lengths 4.7239, 4.7239, 4.7239 Å; angles 60.00, 60.00, 60.00 degrees
Sites, in units of the cell vectors:
Hf: 0.7500 0.7500 0.7500
Tm: 0.2500 0.2500 0.2500
Os: 0.0000 0.0000 0.0000
Pd: 0.5000 0.5000 0.5000

Summary:
Formation energy: -0.645 eV/atom
Uncorrected energy: -33.426 eV per cell
Spin magnetization: 0.00 μB per atom

Compound: Hf2OsPdW
Source: Alexandria via LeMat-Bulk
Functional: PBE
Structure: relaxed

Cell lengths 4.8889, 4.7467, 4.8889 Å; angles 90.00, 90.00, 90.00 degrees
Sites, in units of the cell vectors:
Hf: 0.0000 0.0000 0.5000
Hf: 0.5000 0.0000 0.0000
Os: 0.0000 0.0000 0.0000
Pd: 0.0000 0.5000 0.0000
W: 0.5000 0.5000 0.5000

Summary:
Formation energy: 1.284 eV/atom
Uncorrected energy: -42.861 eV per cell
Spin magnetization: 0.00 μB per atom

Compound: PmHfOs4
Source: Alexandria via LeMat-Bulk
Functional: PBE
Structure: relaxed

Cell lengths 5.3248, 5.3248, 5.3248 Å; angles 60.00, 60.00, 60.00 degrees
Sites, in units of the cell vectors:
Hf: 0.0000 0.0000 0.0000
Os: 0.6254 0.6254 0.1238
Os: 0.6254 0.1238 0.6254
Os: 0.6254 0.6254 0.6254
Os: 0.1238 0.6254 0.6254
Pm: 0.2500 0.2500 0.2500

Summary:
Formation energy: -0.176 eV/atom
Uncorrected energy: -60.680 eV per cell
Spin magnetization: 0.00 μB per atom

Compound: PmHfOsRu
Source: Alexandria via LeMat-Bulk
Functional: PBE
Structure: relaxed

Cell lengths 4.7573, 4.7573, 4.7573 Å; angles 60.00, 60.00, 60.00 degrees
Sites, in units of the cell vectors:
Ru: 0.7500 0.7500 0.7500
Hf: 0.5000 0.5000 0.5000
Os: 0.2500 0.2500 0.2500
Pm: 0.0000 0.0000 0.0000

Summary:
Formation energy: -0.269 eV/atom
Uncorrected energy: -36.287 eV per cell
Spin magnetization: 0.00 μB per atom

Compound: PmHfZnOs
Source: Alexandria via LeMat-Bulk
Functional: PBE
Structure: relaxed

Cell lengths 4.8435, 4.8435, 4.8435 Å; angles 60.00, 60.00, 60.00 degrees
Sites, in units of the cell vectors:
Hf: 0.0000 0.0000 0.0000
Zn: 0.7500 0.7500 0.7500
Os: 0.2500 0.2500 0.2500
Pm: 0.5000 0.5000 0.5000

Summary:
Formation energy: -0.157 eV/atom
Uncorrected energy: -27.836 eV per cell
Spin magnetization: 0.00 μB per atom

Compound: PrHfOs
Source: Alexandria via LeMat-Bulk
Functional: PBE
Structure: relaxed

Cell lengths 4.5615, 4.5615, 6.8911 Å; angles 90.00, 90.00, 90.00 degrees
Sites, in units of the cell vectors:
Pr: 0.0000 0.5000 0.8659
Pr: 0.5000 0.0000 0.1341
Os: 0.0000 0.5000 0.2877
Os: 0.5000 0.0000 0.7123
Hf: 0.5000 0.5000 0.5000
Hf: 0.0000 0.0000 0.5000

Summary:
Formation energy: -0.286 eV/atom
Uncorrected energy: -53.641 eV per cell
Spin magnetization: 0.00 μB per atom

Compound: PrHf2Os
Source: Alexandria via LeMat-Bulk
Functional: PBE
Structure: relaxed

Cell lengths 3.2962, 3.2962, 8.2441 Å; angles 90.00, 90.00, 90.00 degrees
Sites, in units of the cell vectors:
Pr: 0.5000 0.5000 0.5000
Hf: 0.0000 0.0000 0.8100
Hf: 0.0000 0.0000 0.1900
Os: 0.5000 0.5000 0.0000

Summary:
Formation energy: -0.176 eV/atom
Uncorrected energy: -36.622 eV per cell
Spin magnetization: 0.00 μB per atom

Compound: HfOsPt3
Source: Alexandria via LeMat-Bulk
Functional: PBE
Structure: relaxed

Cell lengths 4.7878, 4.7878, 4.7878 Å; angles 90.00, 90.00, 90.00 degrees
Sites, in units of the cell vectors:
Hf: 0.5000 0.5000 0.5000
Os: 0.0000 0.0000 0.0000
Pt: 0.0000 0.5000 0.0000
Pt: 0.0000 0.0000 0.5000
Pt: 0.5000 0.0000 0.0000

Summary:
Formation energy: 1.008 eV/atom
Uncorrected energy: -34.265 eV per cell
Spin magnetization: 0.00 μB per atom

Compound: HfOsPt
Source: Alexandria via LeMat-Bulk
Functional: PBE
Structure: relaxed

Cell lengths 4.5804, 4.5804, 5.5113 Å; angles 90.00, 90.00, 120.00 degrees
Sites, in units of the cell vectors:
Hf: 0.6664 0.3336 0.7500
Hf: 0.3336 0.6664 0.2500
Pt: 0.3330 0.6670 0.7500
Pt: 0.6670 0.3330 0.2500
Os: 0.0000 0.0000 0.0000
Os: 0.0000 0.0000 0.5000

Summary:
Formation energy: -0.616 eV/atom
Uncorrected energy: -58.141 eV per cell
Spin magnetization: 0.00 μB per atom

Compound: Hf2OsPt2
Source: Alexandria via LeMat-Bulk
Functional: PBE
Structure: relaxed

Cell lengths 7.2640, 7.2640, 3.4041 Å; angles 90.00, 90.00, 90.00 degrees
Sites, in units of the cell vectors:
Hf: 0.1760 0.6760 0.5000
Hf: 0.6760 0.8240 0.5000
Hf: 0.8240 0.3240 0.5000
Hf: 0.3240 0.1760 0.5000
Os: 0.0000 0.0000 0.0000
Os: 0.5000 0.5000 0.0000
Pt: 0.3704 0.8704 0.0000
Pt: 0.8704 0.6296 0.0000
Pt: 0.6296 0.1296 0.0000
Pt: 0.1296 0.3704 0.0000

Summary:
Formation energy: -0.613 eV/atom
Uncorrected energy: -92.563 eV per cell
Spin magnetization: 0.00 μB per atom

Compound: Hf6Os2Pt
Source: Alexandria via LeMat-Bulk
Functional: PBE
Structure: relaxed

Cell lengths 5.5339, 7.2167, 9.1350 Å; angles 90.00, 89.79, 90.00 degrees
Sites, in units of the cell vectors:
Hf: 0.8308 0.9248 0.2386
Hf: 0.8327 0.6386 0.5517
Hf: 0.8553 0.7294 0.9247
Hf: 0.6447 0.2294 0.5753
Hf: 0.6673 0.1386 0.9483
Hf: 0.6692 0.4248 0.2614
Hf: 0.1692 0.0752 0.7614
Hf: 0.1673 0.3614 0.4483
Hf: 0.1447 0.2706 0.0753
Hf: 0.3553 0.7706 0.4247
Hf: 0.3327 0.8614 0.0517
Hf: 0.3308 0.5752 0.7386
Os: 0.9014 0.4033 0.7844
Os: 0.5986 0.9033 0.7156
Os: 0.4014 0.0967 0.2844
Os: 0.0986 0.5967 0.2156
Pt: 0.5000 0.5000 0.0000
Pt: 0.0000 0.0000 0.5000

Summary:
Formation energy: -0.339 eV/atom
Uncorrected energy: -182.544 eV per cell
Spin magnetization: 0.00 μB per atom

Compound: Hf3OsPt
Source: Alexandria via LeMat-Bulk
Functional: PBE
Structure: relaxed

Cell lengths 4.9394, 4.9394, 4.9394 Å; angles 90.00, 90.00, 90.00 degrees
Sites, in units of the cell vectors:
Hf: 0.0000 0.5000 0.0000
Hf: 0.0000 0.0000 0.5000
Hf: 0.5000 0.0000 0.0000
Os: 0.0000 0.0000 0.0000
Pt: 0.5000 0.5000 0.5000

Summary:
Formation energy: 0.380 eV/atom
Uncorrected energy: -45.229 eV per cell
Spin magnetization: 0.00 μB per atom

Compound: HfOsPt2
Source: Alexandria via LeMat-Bulk
Functional: PBE
Structure: relaxed

Cell lengths 3.8706, 3.8706, 9.8180 Å; angles 78.63, 78.63, 90.00 degrees
Sites, in units of the cell vectors:
Hf: 0.5000 0.5000 0.0000
Hf: 0.2500 0.7500 0.5000
Os: 0.0000 0.0000 0.0000
Os: 0.7500 0.2500 0.5000
Pt: 0.6363 0.1250 0.2500
Pt: 0.1137 0.6250 0.2500
Pt: 0.3750 0.3637 0.7500
Pt: 0.8750 0.8863 0.7500

Summary:
Formation energy: -0.148 eV/atom
Uncorrected energy: -67.716 eV per cell
Spin magnetization: 0.00 μB per atom